Entry 1:
A relaxed Y2CuAu2 crystal, computed with PBE-GGA.

Its symmetry is I4/mmm, No. 139. The value obtained for the formation energy from the elements is -265 meV/atom.

Cell: 3.865 3.865 8.242 Å, 103.56 103.56 90.00°
Fractional positions:
Au 0.750 0.250 0.500
Au 0.250 0.750 0.500
Cu 0.000 0.000 0.000
Y 0.601 0.601 0.203
Y 0.399 0.399 0.797

Entry 2:
A relaxed Y2CuAu3 crystal, computed with PBE-GGA.

Its symmetry is P4mm, No. 99. The value obtained for the formation energy from the elements is -700 meV/atom.

Cell: 3.707 3.707 8.998 Å, 90.00 90.00 90.00°
Fractional positions:
Au 0.000 0.000 0.324
Au 0.000 0.000 0.664
Au 0.500 0.500 0.843
Cu 0.500 0.500 0.170
Y 0.000 0.000 0.001
Y 0.500 0.500 0.497